<i>
Material: Mg2CuRe
Method: DFT, SCAN
State: single point on PBEsol structure

## Properties
Its volume is 61.0 Å³/f.u. The total magnetization is 0.00 Bohr magnetons per cell.

```
data_Mg2CuRe
_space_group_name_H-M_alt 'C m m m'
_space_group_IT_number 65
_space_group_name_Hall '-C 2 2'
_cell_length_a 5.577
_cell_length_b 8.245
_cell_length_c 2.655
_cell_angle_alpha 90.00
_cell_angle_beta 90.00
_cell_angle_gamma 90.00
loop_
_atom_site_label
_atom_site_fract_x
_atom_site_fract_y
_atom_site_fract_z
Mg1 0.250 0.250 0.000
Cu1 0.000 0.000 0.500
Re1 0.000 0.500 0.500
```

---

<ii>
Material: Mg2CuRe
Method: DFT, SCAN
State: single point on PBEsol structure

## Properties
Its volume is 61.7 Å³/f.u. The total magnetization is 0.00 Bohr magnetons per cell.

```
data_Mg2CuRe
_space_group_name_H-M_alt 'P m m 2'
_space_group_IT_number 25
_cell_length_a 2.706
_cell_length_b 4.138
_cell_length_c 5.511
_cell_angle_alpha 90.00
_cell_angle_beta 90.00
_cell_angle_gamma 90.00
loop_
_space_group_symop_operation_xyz
'x,y,z'
'-x,-y,z'
'-x,y,z'
'x,-y,z'
loop_
_atom_site_label
_atom_site_fract_x
_atom_site_fract_y
_atom_site_fract_z
Mg1 0.000 0.000 0.000
Mg2 0.500 0.500 0.284
Cu1 0.500 0.500 0.746
Re1 0.000 0.000 0.518
```

---

Which one is most stable, and which one is least stable? <i> is the most stable of them, while <ii> is the least stable.

---

<i>
Material: MgCuRu
Method: DFT, SCAN
State: single point on PBEsol structure

## Properties
Its volume is 41.5 Å³/f.u. The total magnetization is 0.00 Bohr magnetons per cell.

```
data_MgCuRu
_space_group_name_H-M_alt 'I m m 2'
_space_group_IT_number 44
_cell_length_a 2.588
_cell_length_b 3.956
_cell_length_c 8.112
_cell_angle_alpha 90.00
_cell_angle_beta 90.00
_cell_angle_gamma 90.00
loop_
_space_group_symop_operation_xyz
'x,y,z'
'-x,-y,z'
'-x,y,z'
'x,-y,z'
'x+1/2,y+1/2,z+1/2'
'-x+1/2,-y+1/2,z+1/2'
'-x+1/2,y+1/2,z+1/2'
'x+1/2,-y+1/2,z+1/2'
loop_
_atom_site_label
_atom_site_fract_x
_atom_site_fract_y
_atom_site_fract_z
Mg1 0.000 0.000 0.000
Cu1 0.000 0.000 0.329
Ru1 0.000 0.000 0.673
```

---

<ii>
Material: MgCuRu
Method: DFT, SCAN
State: single point on PBEsol structure

## Properties
Its volume is 47.9 Å³/f.u. The total magnetization is 4.26 Bohr magnetons per cell.

```
data_MgCuRu
_space_group_name_H-M_alt 'F -4 3 m'
_space_group_IT_number 216
_space_group_name_Hall 'F -4 2 3'
_cell_length_a 5.764
_cell_length_b 5.764
_cell_length_c 5.764
_cell_angle_alpha 90.00
_cell_angle_beta 90.00
_cell_angle_gamma 90.00
loop_
_atom_site_label
_atom_site_fract_x
_atom_site_fract_y
_atom_site_fract_z
Mg1 0.000 0.000 0.000
Cu1 0.250 0.250 0.250
Ru1 0.250 0.250 0.750
```

---

Which one is most stable, and which one is least stable? <i> is the most stable of them, while <ii> is the least stable.